Material: TlCo2MoRu
Method: DFT, PBE-GGA
State: relaxed

Results
- DFT total energy (eV per atom) = -4.90
- energy of formation from the pure elements (eV per atom) = 2.440

a b c (Å): 4.6327 4.6327 5.0588
angles (deg): 90.00 90.00 90.00
Closest atoms and distances in Å follow each position.
Positions (direct):
Tl1 0.0000 0.0000 0.0000  4 Co 2.32, 2 Mo 2.53
Co1 0.0000 0.5000 0.0000  2 Tl 2.32
Co2 0.5000 0.0000 0.0000  2 Tl 2.32
Mo1 0.0000 0.0000 0.5000  2 Tl 2.53
Ru1 0.5000 0.5000 0.5000  4 Mo 3.28, 8 Co 3.43